The following is a PBE calculation of crystalline Tb8Nd5Tm at its relaxed geometry, from Alexandria via LeMat-Bulk.

Summary:
The volume comes out at 474 Å³ per cell. As for the final energy: -61.9 eV per cell. The formation energy is 3.40 eV per formula unit.

The structure in POSCAR format:
```
Tb8Nd5Tm
1.0
-6.708 -4.717 -2.313
3.257 -2.809 7.328
-2.736 8.031 0.787
Tb Nd Tm
8 5 1
direct
0.569 0.907 0.832 Tb
0.166 0.735 0.074 Tb
0.339 0.265 0.431 Tb
0.925 0.093 0.662 Tb
0.081 0.744 0.478 Tb
0.663 0.397 0.919 Tb
0.522 0.603 0.266 Tb
0.733 0.256 0.336 Tb
0.030 0.322 0.135 Nd
0.500 0.000 0.500 Nd
0.293 0.104 0.970 Nd
0.866 0.896 0.188 Nd
0.813 0.678 0.708 Nd
0.250 0.500 0.750 Tm
```